# 1
CrInAs: relaxed, PBE.

The structure in POSCAR format:
```
CrInAs
1.0
3.0038 0.0000 -0.0010
0.0000 2.9801 0.0000
-1.4443 0.0000 13.3846
Cr As In
2 2 2
Direct
0.7267 0.2500 0.9511
0.2733 0.7500 0.0489
0.8252 0.2500 0.1560
0.1748 0.7500 0.8440
0.9311 0.2500 0.3777
0.0689 0.7500 0.6223
```

**SG**: P2_1/m, No. 11
**ΔE to the lowest computed polymorph**: 0.002 eV/atom
**ΔH_f (0 K)**: 2 kJ per mole of atoms

=====

# 2
SrCuSb2: relaxed, PBE.

The structure in POSCAR format:
```
SrCuSb2
1.0
3.9495 -0.0163 0.0000
-1.3853 3.6986 0.0000
0.0000 0.0000 7.4965
Cu Sb Sr
1 2 1
Direct
0.5000 0.5000 0.7500
0.0000 0.0000 0.9472
0.0000 0.0000 0.5528
0.5000 0.5000 0.2500
```

**SG**: Cmmm, No. 65
**ΔE_f (raw)**: -0.174 eV per atom

=====

# 3
Er4Cu3Hg: relaxed, PBE.

The structure in POSCAR format:
```
Er4Cu3Hg
1.0
3.6621 0.0000 0.0000
0.0000 4.5768 0.0000
0.0000 0.0000 10.6192
Er Cu Hg
4 3 1
Direct
0.5000 0.5000 0.3715
0.0000 0.5000 0.8432
0.0000 0.0000 0.1509
0.5000 0.0000 0.6368
0.0000 0.5000 0.5731
0.0000 0.0000 0.4301
0.5000 0.0000 0.9166
0.5000 0.5000 0.0778
```

**SG**: Pmm2, No. 25
**ΔE to the lowest computed polymorph**: 0.018 eV/atom
**ΔH_f (0 K)**: -28 kJ per mole of atoms

=====

# 4
SrZr2Fe: relaxed, PBE.

The structure in POSCAR format:
```
SrZr2Fe
1.0
3.9388 -0.6868 0.0869
2.5683 3.0642 0.0869
1.9894 0.7268 7.8099
Fe Sr Zr
1 1 2
Direct
0.4183 0.4183 0.7460
0.2473 0.2473 0.2560
0.0376 0.0376 0.8878
0.7969 0.7969 0.6102
```

**SG**: Cm, No. 8
**ΔE to the lowest computed polymorph**: 0.000 eV/atom
**ΔH_f (0 K)**: 21 kJ per mole of atoms

=====

We obtain ρ values of 6.7, 6.0, 9.9, 5.0 g/cm³ for the records listed above, in that order.
We obtain magnetization values of 0.40, 0.00, 0.00, 0.00 μB per formula unit for the records listed above, in that order.